[1]
{"formula": "TlFeBr4", "functional": "PBE", "state": "optimized geometry", "lattice_angstrom": [[7.426, 0.000, 4.190], [3.713, 7.520, 2.095], [0.017, 0.000, 8.645]], "species": ["Br", "Br", "Br", "Br", "Br", "Br", "Br", "Br", "Fe", "Fe", "Tl", "Tl"], "frac_coords": [[0.594, 0.323, 0.323], [0.666, 0.177, 0.823], [0.666, 0.823, 0.177], [0.511, 0.823, 0.823], [0.156, 0.177, 0.177], [0.084, 0.323, 0.677], [0.084, 0.677, 0.323], [0.239, 0.677, 0.677], [0.250, 0.500, 0.500], [0.500, 0.000, 0.000], [0.750, 0.500, 0.500], [0.000, 0.000, 0.000]], "crystal_system": "tetragonal", "raw_formation_energy_ev_per_atom": -0.64}

---

[2]
{"formula": "SmDy2Tm", "functional": "PBE", "state": "optimized geometry", "lattice_angstrom": [[5.661, 0.000, 0.000], [2.831, 4.903, 0.000], [2.831, 1.634, 4.622]], "species": ["Dy", "Dy", "Tm", "Sm"], "frac_coords": [[0.750, 0.750, 0.750], [0.250, 0.250, 0.250], [0.000, 0.000, 0.000], [0.500, 0.500, 0.500]], "crystal_system": "cubic", "formation_enthalpy_0k_ev_per_atom": 0.1466}

---

[3]
{"formula": "AcHo2AlAu4", "functional": "PBE", "state": "optimized geometry", "lattice_angstrom": [[4.966, 0.000, 0.000], [2.483, 4.301, 0.000], [2.483, 1.434, 9.106]], "species": ["Ac", "Au", "Au", "Au", "Au", "Ho", "Ho", "Al"], "frac_coords": [[0.000, 0.000, 0.000], [0.402, 0.402, 0.794], [0.120, 0.120, 0.640], [0.598, 0.598, 0.206], [0.880, 0.880, 0.360], [0.229, 0.229, 0.314], [0.771, 0.771, 0.686], [0.500, 0.500, 0.500]], "crystal_system": "trigonal", "formation_enthalpy_0k_ev_per_atom": -0.7427}

---

[4]
{"formula": "Ba2MgH", "functional": "PBE", "state": "optimized geometry", "lattice_angstrom": [[0.000, 4.198, 4.198], [4.198, 0.000, 4.198], [4.198, 4.198, 0.000]], "species": ["Mg", "Ba", "Ba", "H"], "frac_coords": [[0.500, 0.500, 0.500], [0.750, 0.750, 0.750], [0.250, 0.250, 0.250], [0.000, 0.000, 0.000]], "crystal_system": "cubic", "energy_ev_per_atom": -1.9652}

---

[5]
{"formula": "CsTcPb2", "functional": "PBE", "state": "optimized geometry", "lattice_angstrom": [[-1.374, 4.218, 3.292], [0.793, 5.198, -1.694], [-4.334, 3.187, -1.257]], "species": ["Tc", "Pb", "Pb", "Cs"], "frac_coords": [[0.000, 0.000, 0.000], [0.750, 0.750, 0.750], [0.250, 0.250, 0.250], [0.500, 0.500, 0.500]], "crystal_system": "cubic", "formation_enthalpy_0k_ev_per_atom": 0.9870}

---

[6]
{"formula": "LiMoH2", "functional": "PBE", "state": "optimized geometry", "lattice_angstrom": [[2.677, 0.000, 0.000], [0.000, 2.677, 0.000], [0.000, 0.000, 5.214]], "species": ["H", "H", "Mo", "Li"], "frac_coords": [[0.000, 0.000, 0.800], [0.000, 0.000, 0.200], [0.500, 0.500, 0.000], [0.500, 0.500, 0.500]], "crystal_system": "tetragonal", "energy_ev_per_atom": -4.4888}

---

[7]
{"formula": "NaAl2Pd2", "functional": "PBE", "state": "optimized geometry", "lattice_angstrom": [[-2.867, -2.638, 1.056], [0.320, -1.790, -3.604], [2.739, -5.733, 0.830]], "species": ["Al", "Al", "Na", "Pd", "Pd"], "frac_coords": [[0.750, 0.250, 0.500], [0.250, 0.750, 0.500], [0.000, 0.000, 0.000], [0.619, 0.619, 0.761], [0.381, 0.381, 0.239]], "crystal_system": "tetragonal", "formation_enthalpy_0k_ev_per_atom": -0.4990}

---

[8]
{"formula": "Pr8Sn2Ru3", "functional": "PBE", "state": "optimized geometry", "lattice_angstrom": [[5.099, 0.000, 0.000], [0.000, 8.786, -5.055], [0.000, -0.564, 9.200]], "species": ["Pr", "Pr", "Pr", "Pr", "Pr", "Pr", "Pr", "Pr", "Ru", "Ru", "Ru", "Sn", "Sn"], "frac_coords": [[0.000, 0.887, 0.774], [0.500, 0.355, 0.221], [0.000, 0.113, 0.226], [0.500, 0.134, 0.779], [0.000, 0.609, 0.218], [0.500, 0.866, 0.221], [0.000, 0.391, 0.782], [0.500, 0.645, 0.779], [0.000, 0.249, 0.000], [0.000, 0.751, 0.000], [0.500, 0.000, 0.000], [0.500, 0.257, 0.513], [0.500, 0.743, 0.487]], "crystal_system": "monoclinic", "formation_enthalpy_0k_ev_per_atom": -0.2715}

---

[9]
{"formula": "CrIrPt", "functional": "PBE", "state": "optimized geometry", "lattice_angstrom": [[-3.504, 0.585, 4.098], [4.693, -1.796, 0.681], [2.452, 6.831, 1.121]], "species": ["Ir", "Ir", "Ir", "Ir", "Pt", "Pt", "Pt", "Pt", "Cr", "Cr", "Cr", "Cr"], "frac_coords": [[0.867, 0.733, 0.411], [0.367, 0.733, 0.089], [0.633, 0.267, 0.911], [0.133, 0.267, 0.589], [0.128, 0.756, 0.750], [0.628, 0.756, 0.750], [0.872, 0.244, 0.250], [0.372, 0.244, 0.250], [0.118, 0.236, 0.921], [0.882, 0.764, 0.079], [0.618, 0.236, 0.579], [0.382, 0.764, 0.421]], "crystal_system": "orthorhombic", "formation_enthalpy_0k_ev_per_atom": 0.0345}

---

[10]
{"formula": "Co2IrCl", "functional": "PBE", "state": "optimized geometry", "lattice_angstrom": [[-0.268, -1.852, -1.981], [0.254, -0.856, 2.575], [-9.501, 0.272, 1.030]], "species": ["Cl", "Ir", "Co", "Co"], "frac_coords": [[0.500, 0.500, 0.823], [0.000, 0.000, 0.439], [0.000, 0.000, 0.018], [0.500, 0.500, 0.220]], "crystal_system": "orthorhombic", "raw_formation_energy_ev_per_atom": 0.51}

---

[11]
{"formula": "Sr4TlFe", "functional": "PBE", "state": "optimized geometry", "lattice_angstrom": [[1.980, -5.076, -4.516], [-0.970, -6.805, 1.680], [-4.894, -3.820, -3.396]], "species": ["Sr", "Sr", "Sr", "Sr", "Fe", "Tl"], "frac_coords": [[0.375, 0.375, 0.375], [0.375, 0.375, 0.876], [0.876, 0.375, 0.375], [0.375, 0.876, 0.375], [0.000, 0.000, 0.000], [0.750, 0.750, 0.750]], "crystal_system": "cubic", "formation_enthalpy_0k_ev_per_atom": 0.7998}

---

[12]
{"formula": "Mg2ZnTc", "functional": "PBE", "state": "optimized geometry", "lattice_angstrom": [[2.779, 0.000, 0.000], [0.000, 2.779, 0.000], [0.000, 0.000, 8.723]], "species": ["Mg", "Mg", "Tc", "Zn"], "frac_coords": [[0.000, 0.000, 0.493], [0.000, 0.000, 0.007], [0.500, 0.500, 0.250], [0.500, 0.500, 0.750]], "crystal_system": "tetragonal", "formation_enthalpy_0k_ev_per_atom": 0.1493}

---

The records above give, respectively, magnetic moment values of 10.00; 0.00; 0.00; 0.00; 2.21; 0.00; 0.00; 0.00; 0.01; 4.73; 2.60; 0.42 μB/cell.